1.
# NaYP2O6 (PBE-GGA, optimized geometry)
# - formation energy without anion corrections (meV per atom) = -2525.9
# - total DFT energy (no corrections) (eV/atom) = -7.361
data_NaYP2O6
_symmetry_space_group_name_H-M 'P 1'
_symmetry_Int_Tables_number 1
_symmetry_space_group_name_Hall 'P 1'
_cell_length_a 6.444
_cell_length_b 6.444
_cell_length_c 8.055
_cell_angle_alpha 104.83
_cell_angle_beta 104.83
_cell_angle_gamma 115.16
loop_
_atom_site_label
_atom_site_fract_x
_atom_site_fract_y
_atom_site_fract_z
Na1 0.118 0.882 0.250
Na2 0.882 0.118 0.750
Y1 0.533 0.467 0.250
Y2 0.467 0.533 0.750
P1 0.329 0.010 0.757
P2 0.990 0.671 0.743
P3 0.671 0.990 0.243
P4 0.010 0.329 0.257
O1 0.919 0.515 0.276
O2 0.485 0.081 0.224
O3 0.081 0.485 0.724
O4 0.515 0.919 0.776
O5 0.078 0.280 0.087
O6 0.720 0.922 0.413
O7 0.922 0.720 0.913
O8 0.280 0.078 0.587
O9 0.257 0.419 0.425
O10 0.581 0.743 0.075
O11 0.743 0.581 0.575
O12 0.419 0.257 0.925

---

2.
# TmMgSc2 (PBE-GGA, optimized geometry)
# - total DFT energy (no corrections) (eV/atom) = -4.619
data_TmMgSc2
_symmetry_space_group_name_H-M 'P 1'
_symmetry_Int_Tables_number 1
_symmetry_space_group_name_Hall 'P 1'
_cell_length_a 3.299
_cell_length_b 3.299
_cell_length_c 11.094
_cell_angle_alpha 81.45
_cell_angle_beta 81.45
_cell_angle_gamma 60.00
loop_
_atom_site_label
_atom_site_fract_x
_atom_site_fract_y
_atom_site_fract_z
Tm1 0.667 0.667 0.000
Mg1 0.500 0.500 0.500
Sc1 0.084 0.084 0.748
Sc2 0.249 0.249 0.252

---

3.
# AgTe2Os (PBE-GGA, optimized geometry)
# - formation energy without anion corrections (meV per atom) = 377.7
# - total DFT energy (no corrections) (eV/atom) = -4.713
data_AgTe2Os
_symmetry_space_group_name_H-M 'P 1'
_symmetry_Int_Tables_number 1
_symmetry_space_group_name_Hall 'P 1'
_cell_length_a 6.881
_cell_length_b 6.881
_cell_length_c 6.881
_cell_angle_alpha 153.02
_cell_angle_beta 139.42
_cell_angle_gamma 49.41
loop_
_atom_site_label
_atom_site_fract_x
_atom_site_fract_y
_atom_site_fract_z
Te1 0.080 0.080 0.000
Te2 0.420 0.420 0.000
Os1 0.250 0.750 0.500
Ag1 0.750 0.250 0.500

---

4.
# TbPr5Tl4 (PBE-GGA, optimized geometry)
# - total DFT energy (no corrections) (eV/atom) = -3.848
data_TbPr5Tl4
_symmetry_space_group_name_H-M 'P 1'
_symmetry_Int_Tables_number 1
_symmetry_space_group_name_Hall 'P 1'
_cell_length_a 8.860
_cell_length_b 8.499
_cell_length_c 9.361
_cell_angle_alpha 90.00
_cell_angle_beta 90.00
_cell_angle_gamma 90.00
loop_
_atom_site_label
_atom_site_fract_x
_atom_site_fract_y
_atom_site_fract_z
Tb1 0.915 0.000 0.000
Tb2 0.085 0.500 0.500
Pr1 0.267 0.759 0.806
Pr2 0.267 0.241 0.806
Pr3 0.670 0.500 0.000
Pr4 0.267 0.759 0.194
Pr5 0.267 0.241 0.194
Pr6 0.733 0.741 0.306
Pr7 0.733 0.259 0.306
Pr8 0.330 0.000 0.500
Pr9 0.733 0.259 0.694
Pr10 0.733 0.741 0.694
Tl1 0.001 0.000 0.666
Tl2 0.565 0.834 0.000
Tl3 0.565 0.166 0.000
Tl4 0.001 0.000 0.334
Tl5 0.999 0.500 0.166
Tl6 0.435 0.666 0.500
Tl7 0.435 0.334 0.500
Tl8 0.999 0.500 0.834

---

5.
# PmPrDy4Ho2 (PBE-GGA, optimized geometry)
# - total DFT energy (no corrections) (eV/atom) = -4.212
data_PmPrDy4Ho2
_symmetry_space_group_name_H-M 'P 1'
_symmetry_Int_Tables_number 1
_symmetry_space_group_name_Hall 'P 1'
_cell_length_a 9.516
_cell_length_b 9.516
_cell_length_c 11.816
_cell_angle_alpha 128.38
_cell_angle_beta 128.38
_cell_angle_gamma 88.43
loop_
_atom_site_label
_atom_site_fract_x
_atom_site_fract_y
_atom_site_fract_z
Pm1 0.000 0.500 0.000
Pm2 0.000 0.500 0.500
Pr1 0.500 0.500 0.500
Pr2 0.000 0.000 0.000
Dy1 0.255 0.747 0.001
Dy2 0.753 0.245 0.499
Dy3 0.247 0.755 0.501
Dy4 0.745 0.253 0.999
Dy5 0.747 0.751 0.003
Dy6 0.749 0.753 0.497
Dy7 0.251 0.247 0.503
Dy8 0.253 0.249 0.997
Ho1 0.500 0.000 0.000
Ho2 0.500 0.000 0.500
Ho3 0.000 0.000 0.500
Ho4 0.500 0.500 0.000

---

6.
# CaTa2P (PBE-GGA, optimized geometry)
# - total DFT energy (no corrections) (eV/atom) = -7.480
data_CaTa2P
_symmetry_space_group_name_H-M 'P 1'
_symmetry_Int_Tables_number 1
_symmetry_space_group_name_Hall 'P 1'
_cell_length_a 4.701
_cell_length_b 3.994
_cell_length_c 3.994
_cell_angle_alpha 90.00
_cell_angle_beta 90.00
_cell_angle_gamma 90.00
loop_
_atom_site_label
_atom_site_fract_x
_atom_site_fract_y
_atom_site_fract_z
Ca1 0.500 0.500 0.000
P1 0.500 0.000 0.500
Ta1 0.000 0.000 0.000
Ta2 0.000 0.500 0.500

---

> The lowest total DFT energy (no corrections) belongs to which entry?

CaTa2P

---

> What is the total DFT energy (no corrections) in the third record?

-4.713 eV/atom

---

> Which of these has the lowest total DFT energy (no corrections)?

CaTa2P

---

> Which formula does entry 5 have?

PmPrDy4Ho2